(1)
PaCoCuSb: relaxed, PBE.

Cell lengths 6.579, 6.579, 6.579 Å; angles 90.00, 90.00, 90.00 degrees
Space group F-43m (No. 216)
Unique sites:
Pa (0.000, 0.000, 0.000) (multiplicity 4)
Co (0.250, 0.250, 0.750) (multiplicity 4)
Cu (0.250, 0.250, 0.250) (multiplicity 4)
Sb (0.000, 0.000, 0.500) (multiplicity 4)

Values from the calculation:
The total magnetic moment is 0.00 μB/atom. For the uncorrected formation energy, the calculation gives -209 meV/atom. The calculation puts the raw total energy at -102.625 eV/cell. Its crystal system is cubic.


(2)
Hf4Zr5Pa2: relaxed, PBE.

Cell lengths 22.016, 3.080, 7.673 Å; angles 90.00, 95.45, 90.00 degrees
Space group C2/m (No. 12)
Unique sites:
Hf (0.047, 0.000, 0.364) (multiplicity 4)
Hf (0.225, 0.500, 0.825) (multiplicity 4)
Zr (0.000, 0.500, 0.000) (multiplicity 2)
Zr (0.133, 0.000, 0.056) (multiplicity 4)
Zr (0.186, 0.000, 0.466) (multiplicity 4)
Pa (0.088, 0.500, 0.710) (multiplicity 4)

Values from the calculation:
The total magnetic moment is 0.00 μB/atom. The calculation puts the raw total energy at -199.937 eV/cell. Its crystal system is monoclinic. The calculation puts the energy relative to the elements at 143 meV per atom.


(3)
K2InBiPb: relaxed, PBE.

Cell lengths 6.606, 6.606, 5.629 Å; angles 90.00, 90.00, 90.00 degrees
Space group P4/mmm (No. 123)
Unique sites:
K (0.000, 0.500, 0.000) (multiplicity 2)
In (0.000, 0.000, 0.000) (multiplicity 1)
Bi (0.000, 0.000, 0.500) (multiplicity 1)
Pb (0.500, 0.500, 0.500) (multiplicity 1)

Values from the calculation:
The total magnetic moment is 0.36 μB/atom. The calculation puts the raw total energy at -11.030 eV/cell. Its crystal system is tetragonal. The calculation puts the energy relative to the elements at 299 meV per atom.


(4)
BaSbAu: relaxed, PBE.

Cell lengths 4.706, 4.706, 9.407 Å; angles 90.00, 90.00, 90.00 degrees
Space group I4mm (No. 107)
Unique sites:
Ba (0.000, 0.000, 0.000) (multiplicity 2)
Sb (0.000, 0.000, 0.355) (multiplicity 2)
Au (0.000, 0.000, 0.639) (multiplicity 2)

Values from the calculation:
The total magnetic moment is 0.00 μB/atom. For the uncorrected formation energy, the calculation gives -435 meV/atom. The calculation puts the raw total energy at -21.255 eV/cell. Its crystal system is tetragonal.


(5)
LiSe2Cl: relaxed, PBE.

Cell lengths 5.167, 5.167, 2.951 Å; angles 90.00, 90.00, 90.00 degrees
Space group P4/mmm (No. 123)
Unique sites:
Li (0.000, 0.000, 0.000) (multiplicity 1)
Se (0.000, 0.500, 0.500) (multiplicity 2)
Cl (0.500, 0.500, 0.000) (multiplicity 1)

Values from the calculation:
The total magnetic moment is 0.00 μB/atom. For the uncorrected formation energy, the calculation gives -2 meV/atom. The calculation puts the raw total energy at -10.738 eV/cell. Its crystal system is tetragonal.


(6)
Ca3InSi: relaxed, PBE.

Cell lengths 5.638, 5.638, 5.638 Å; angles 90.00, 90.00, 90.00 degrees
Space group Pm-3m (No. 221)
Unique sites:
Ca (0.000, 0.000, 0.500) (multiplicity 3)
In (0.500, 0.500, 0.500) (multiplicity 1)
Si (0.000, 0.000, 0.000) (multiplicity 1)

Values from the calculation:
The total magnetic moment is 0.00 μB/atom. For the uncorrected formation energy, the calculation gives -168 meV/atom. The calculation puts the raw total energy at -15.005 eV/cell. Its crystal system is cubic.


(7)
PaRe2B6: relaxed, PBE.

Cell lengths 5.3498, 5.3498, 3.6283 Å; angles 90.00, 90.00, 120.00 degrees
Space group P6/mmm (No. 191)
Unique sites:
Pa (0.0000, 0.0000, 0.0000) (multiplicity 1)
Re (0.3333, 0.6667, 0.0000) (multiplicity 2)
B (0.0000, 0.3419, 0.5000) (multiplicity 6)

Values from the calculation:
The total magnetic moment is 0.00 μB/atom. The calculation puts the raw total energy at -75.436 eV/cell. Its crystal system is hexagonal. The calculation puts the energy relative to the elements at -109 meV per atom.


(8)
Ac3HoO6: relaxed, PBE.

Cell lengths 10.4789, 10.4789, 12.1011 Å; angles 90.00, 90.00, 120.00 degrees
Space group R-3 (No. 148, hexagonal axes)
Unique sites:
Ac (0.0393, 0.2661, 0.2073) (multiplicity 18)
Ho (0.0000, 0.0000, 0.0000) (multiplicity 3)
Ho (0.0000, 0.0000, 0.5000) (multiplicity 3)
O (0.0266, 0.1820, 0.8814) (multiplicity 18)
O (0.0316, 0.2081, 0.4068) (multiplicity 18)

Values from the calculation:
The total magnetic moment is 0.00 μB/atom. For the uncorrected formation energy, the calculation gives -3397 meV/atom. The calculation puts the raw total energy at -483.756 eV/cell. Its crystal system is trigonal.